Density functional theory data (PBE+U) for a relaxed Na6Cr2C4SO16 crystal.

## Properties
Volume, A^3/atom: 12.19
DOS(E_F), states/eV/atom: 0.167
DFT total energy, eV per atom: -6.5970

a b c (Å): 9.9992 9.9992 9.9992
angles (deg): 60.00 60.00 60.00
With the nearest neighbours (Å) after each atom.
Sites, in units of the cell vectors:
C1 0.8451 0.8451 0.8451  3 O 1.30
C2 0.4049 0.7852 0.4049  3 O 1.30
C3 0.7852 0.4049 0.4049  3 O 1.30
C4 0.8451 0.4648 0.8451  3 O 1.30
C5 0.8451 0.8451 0.4648  3 O 1.30
C6 0.4049 0.4049 0.4049  3 O 1.30
C7 0.4049 0.4049 0.7852  3 O 1.30
C8 0.4648 0.8451 0.8451  3 O 1.30
O1 0.4631 0.7297 0.9867  1 C 1.30
O2 0.0612 0.8165 0.0612  1 S 1.50
O3 0.7869 0.4295 0.5203  1 C 1.30
O4 0.1888 0.1888 0.4335  1 S 1.50
O5 0.1888 0.1888 0.1888  1 S 1.50
O6 0.8165 0.0612 0.0612  1 S 1.50
O7 0.8205 0.7297 0.4631  1 C 1.30
O8 0.7869 0.5203 0.2633  1 C 1.30
O9 0.9867 0.4631 0.7297  1 C 1.30
O10 0.5203 0.7869 0.4295  1 C 1.30
O11 0.7297 0.8205 0.9867  1 C 1.30
O12 0.5203 0.2633 0.7869  1 C 1.30
O13 0.4295 0.7869 0.2633  1 C 1.30
O14 0.4631 0.9867 0.8205  1 C 1.30
O15 0.1888 0.4335 0.1888  1 S 1.50
O16 0.2633 0.4295 0.7869  1 C 1.30
O17 0.0612 0.0612 0.8165  1 S 1.50
O18 0.2633 0.5203 0.4295  1 C 1.30
O19 0.8205 0.9867 0.7297  1 C 1.30
O20 0.9867 0.7297 0.8205  1 C 1.30
O21 0.0612 0.0612 0.0612  1 S 1.50
O22 0.7297 0.4631 0.8205  1 C 1.30
O23 0.7869 0.2633 0.4295  1 C 1.30
O24 0.4335 0.1888 0.1888  1 S 1.50
O25 0.4295 0.5203 0.7869  1 C 1.30
O26 0.4631 0.8205 0.7297  1 C 1.30
O27 0.5203 0.4295 0.2633  1 C 1.30
O28 0.4295 0.2633 0.5203  1 C 1.30
O29 0.7297 0.9867 0.4631  1 C 1.30
O30 0.8205 0.4631 0.9867  1 C 1.30
O31 0.9867 0.8205 0.4631  1 C 1.30
O32 0.2633 0.7869 0.5203  1 C 1.30
Na1 0.0338 0.4662 0.0338  6 O 2.42-2.51
Na2 0.0338 0.0338 0.4662  6 O 2.42-2.51
Na3 0.7838 0.7838 0.2162  6 O 2.42-2.51
Na4 0.0338 0.4662 0.4662  6 O 2.42-2.51
Na5 0.4662 0.4662 0.0338  6 O 2.42-2.51
Na6 0.2162 0.7838 0.2162  6 O 2.42-2.51
Na7 0.7838 0.2162 0.7838  6 O 2.42-2.51
Na8 0.2162 0.2162 0.7838  6 O 2.42-2.51
Na9 0.4662 0.0338 0.0338  6 O 2.42-2.51
Na10 0.2162 0.7838 0.7838  6 O 2.42-2.51
Na11 0.7838 0.2162 0.2162  6 O 2.42-2.51
Na12 0.4662 0.0338 0.4662  6 O 2.42-2.51
Cr1 0.6250 0.6250 0.6250  6 O 2.17
Cr2 0.1250 0.6250 0.6250  6 O 2.17
Cr3 0.6250 0.6250 0.1250  6 O 2.17
Cr4 0.6250 0.1250 0.6250  6 O 2.17
S1 0.2500 0.2500 0.2500  4 O 1.50
S2 0.0000 0.0000 0.0000  4 O 1.50